Here is a PBEsol-optimized structure of Ho2NiGe6 from Alexandria via LeMat-Bulk. Energies are from meta-GGA SCAN.

Computed properties:
calculated total energy: -233.9 eV/cell
formation energy: -0.578 eV per atom

Geometry as extended XYZ:
```
9
Lattice="3.983 0.000 0.000 0.000 1.967 10.545 0.000 -1.967 10.545" Properties=species:S:1:pos:R:3 pbc="T T T"
Ho 0.000 0.000 0.000
Ho 0.000 0.000 7.087
Ni 1.992 0.000 11.748
Ge 0.000 0.000 12.961
Ge 0.000 0.000 15.432
Ge 1.992 0.000 2.428
Ge 1.992 0.000 4.910
Ge 1.992 0.000 9.481
Ge 1.992 0.000 18.447
```

Here is a PBEsol-optimized structure of HoNiGe from Alexandria via LeMat-Bulk. Energies are from meta-GGA SCAN.

Computed properties:
calculated total energy: -347.7 eV/cell
formation energy: -0.890 eV per atom

Geometry as extended XYZ:
```
12
Lattice="6.781 0.000 0.000 0.000 4.164 0.000 0.000 0.000 7.150" Properties=species:S:1:pos:R:3 pbc="T T T"
Ho 0.059 1.041 1.464
Ho 3.332 3.123 5.039
Ho 3.449 1.041 2.111
Ho 6.723 3.123 5.686
Ni 1.301 3.123 2.987
Ni 2.090 1.041 6.562
Ni 4.691 3.123 0.588
Ni 5.480 1.041 4.164
Ge 1.321 1.041 4.210
Ge 2.070 3.123 0.635
Ge 4.711 1.041 6.515
Ge 5.460 3.123 2.940
```

Here is a PBEsol-optimized structure of HoNiGe from Alexandria via LeMat-Bulk. Energies are from meta-GGA SCAN.

Computed properties:
calculated total energy: -173.3 eV/cell
formation energy: -0.803 eV per atom

Geometry as extended XYZ:
```
6
Lattice="4.987 -2.033 0.000 4.987 2.033 0.000 -4.474 0.000 5.040" Properties=species:S:1:pos:R:3 pbc="T T T"
Ho -0.875 0.000 1.577
Ho 6.375 0.000 3.463
Ni 2.062 0.000 1.410
Ni 3.438 0.000 3.630
Ge -0.735 0.000 4.532
Ge 6.234 0.000 0.508
```

Here is a PBEsol-optimized structure of Ho5Ge10Os4 from Alexandria via LeMat-Bulk. Energies are from meta-GGA SCAN.

Computed properties:
calculated total energy: -1471.9 eV/cell
formation energy: -0.665 eV per atom

Geometry as extended XYZ:
```
38
Lattice="12.928 0.000 0.000 0.000 12.928 0.000 0.000 0.000 4.245" Properties=species:S:1:pos:R:3 pbc="T T T"
Ho 0.000 0.000 0.000
Ho 1.524 4.941 2.123
Ho 2.226 8.690 2.123
Ho 4.238 2.226 2.123
Ho 4.941 11.405 2.123
Ho 6.464 6.464 0.000
Ho 7.988 1.524 2.123
Ho 8.690 10.702 2.123
Ho 10.702 4.238 2.123
Ho 11.405 7.988 2.123
Ge 0.093 10.899 2.123
Ge 0.871 7.335 0.000
Ge 2.029 0.093 2.123
Ge 2.129 2.560 0.000
Ge 2.560 10.799 0.000
Ge 3.904 4.335 0.000
Ge 4.335 9.024 0.000
Ge 4.435 6.557 2.123
Ge 5.593 0.871 0.000
Ge 6.371 4.435 2.123
Ge 6.557 8.493 2.123
Ge 7.335 12.057 0.000
Ge 8.493 6.371 2.123
Ge 8.593 3.904 0.000
Ge 9.024 8.593 0.000
Ge 10.368 2.129 0.000
Ge 10.799 10.368 0.000
Ge 10.899 12.835 2.123
Ge 12.057 5.593 0.000
Ge 12.835 2.029 2.123
Os 0.235 9.724 0.000
Os 3.204 0.235 0.000
Os 3.260 6.699 0.000
Os 6.229 3.260 0.000
Os 6.699 9.668 0.000
Os 9.668 6.229 0.000
Os 9.724 12.693 0.000
Os 12.693 3.204 0.000
```

Here is a PBEsol-optimized structure of HoGePd from Alexandria via LeMat-Bulk. Energies are from meta-GGA SCAN.

Computed properties:
calculated total energy: -207.9 eV/cell
formation energy: -1.038 eV per atom

Geometry as extended XYZ:
```
6
Lattice="5.125 -2.141 0.000 5.125 2.141 0.000 -4.604 0.000 5.131" Properties=species:S:1:pos:R:3 pbc="T T T"
Ho -0.924 0.000 1.587
Ho 6.571 0.000 3.544
Ge -0.650 0.000 4.619
Ge 6.297 0.000 0.512
Pd 2.060 0.000 1.405
Pd 3.587 0.000 3.726
```

Here is a PBEsol-optimized structure of HoGePd from Alexandria via LeMat-Bulk. Energies are from meta-GGA SCAN.

Computed properties:
calculated total energy: -625.3 eV/cell
formation energy: -1.124 eV per atom

Geometry as extended XYZ:
```
18
Lattice="-2.164 10.291 3.754 2.164 -10.291 3.754 2.164 10.291 -3.754" Properties=species:S:1:pos:R:3 pbc="T T T"
Ho 0.000 0.000 0.000
Ho 0.000 3.443 0.589
Ho 2.164 -3.433 3.737
Ho 0.000 10.291 0.632
Ho 2.164 3.433 3.737
Ho 0.000 17.140 0.589
Ge 2.164 8.953 -0.889
Ge 0.000 1.338 2.864
Ge 2.164 5.444 1.472
Ge 0.000 8.346 2.852
Ge 0.000 4.847 5.225
Ge 0.000 12.237 2.852
Pd 2.164 4.769 -0.994
Pd 2.164 -1.476 1.587
Pd 2.164 1.476 1.587
Pd 2.164 8.137 1.558
Pd 0.000 5.522 2.760
Pd 0.000 2.154 5.312
```

Here is a PBEsol-optimized structure of HoGePd2 from Alexandria via LeMat-Bulk. Energies are from meta-GGA SCAN.

Computed properties:
calculated total energy: -550.9 eV/cell
formation energy: -1.024 eV per atom

Geometry as extended XYZ:
```
16
Lattice="7.268 0.000 0.000 0.000 7.020 0.000 0.000 0.000 5.495" Properties=species:S:1:pos:R:3 pbc="T T T"
Ho 0.208 1.755 0.790
Ho 3.426 5.265 3.538
Ho 3.842 1.755 1.958
Ho 7.060 5.265 4.706
Ge 0.862 5.265 1.958
Ge 2.772 1.755 4.706
Ge 4.496 5.265 0.789
Ge 6.406 1.755 3.537
Pd 1.325 0.361 3.228
Pd 1.325 3.149 3.228
Pd 2.309 3.871 0.480
Pd 2.309 6.659 0.480
Pd 4.959 0.361 5.015
Pd 4.959 3.149 5.015
Pd 5.943 3.871 2.268
Pd 5.943 6.659 2.268
```

Here is a PBEsol-optimized structure of HoGePd from Alexandria via LeMat-Bulk. Energies are from meta-GGA SCAN.

Computed properties:
calculated total energy: -833.9 eV/cell
formation energy: -1.128 eV per atom

Geometry as extended XYZ:
```
24
Lattice="4.347 0.000 0.000 0.000 13.712 0.000 0.000 0.000 7.475" Properties=species:S:1:pos:R:3 pbc="T T T"
Ho 1.087 0.020 1.588
Ho 1.087 3.428 2.214
Ho 1.087 6.836 1.588
Ho 1.087 10.284 2.167
Ho 3.260 3.428 5.309
Ho 3.260 6.876 5.888
Ho 3.260 10.284 5.261
Ho 3.260 13.692 5.888
Ge 1.087 1.454 4.422
Ge 1.087 5.402 4.422
Ge 1.087 8.941 6.792
Ge 1.087 11.626 6.792
Ge 3.260 2.086 0.683
Ge 3.260 4.770 0.683
Ge 3.260 8.310 3.053
Ge 3.260 12.258 3.053
Pd 1.087 1.948 6.904
Pd 1.087 4.908 6.904
Pd 1.087 8.153 4.346
Pd 1.087 12.414 4.346
Pd 3.260 1.297 3.129
Pd 3.260 5.558 3.129
Pd 3.260 8.804 0.571
Pd 3.260 11.763 0.571
```

Here is a PBEsol-optimized structure of Ho2Ge6Pd from Alexandria via LeMat-Bulk. Energies are from meta-GGA SCAN.

Computed properties:
calculated total energy: -250.4 eV/cell
formation energy: -0.569 eV per atom

Geometry as extended XYZ:
```
9
Lattice="4.023 0.000 0.000 0.000 1.983 10.830 0.000 -1.983 10.830" Properties=species:S:1:pos:R:3 pbc="T T T"
Ho 0.000 0.000 0.000
Ho 0.000 0.000 7.359
Ge 0.000 0.000 13.019
Ge 0.000 0.000 15.491
Ge 2.012 0.000 2.157
Ge 2.012 0.000 4.634
Ge 2.012 0.000 10.051
Ge 2.012 0.000 19.316
Pd 2.012 0.000 16.923
```

Here is a PBEsol-optimized structure of Ho2Ge3Pt9 from Alexandria via LeMat-Bulk. Energies are from meta-GGA SCAN.

Computed properties:
calculated total energy: -1599.3 eV/cell
formation energy: -0.906 eV per atom

Geometry as extended XYZ:
```
28
Lattice="6.664 -3.865 0.000 6.664 3.865 0.000 -4.488 0.000 8.892" Properties=species:S:1:pos:R:3 pbc="T T T"
Ho 1.124 0.661 2.234
Ho -1.120 -0.661 6.680
Ho 9.960 0.661 2.212
Ho 7.716 -0.661 6.658
Ge 3.332 1.932 0.000
Ge 3.214 2.095 4.471
Ge 3.381 2.095 8.867
Ge 1.088 -1.932 4.446
Ge 5.458 -2.095 0.025
Ge 5.626 -2.095 4.421
Pt 5.530 3.228 0.688
Pt 5.554 3.228 3.758
Pt 1.086 0.636 5.161
Pt 4.105 1.479 2.288
Pt 1.020 0.684 8.213
Pt 3.330 -0.636 0.716
Pt 3.298 1.021 6.669
Pt 6.979 1.479 2.158
Pt 3.264 -0.684 3.767
Pt 5.576 0.684 5.125
Pt 1.861 -1.479 6.734
Pt 5.542 -1.021 2.223
Pt 5.509 0.636 8.176
Pt 7.820 -0.684 0.679
Pt 4.735 -1.479 6.604
Pt 7.754 -0.636 3.730
Pt 3.286 -3.228 5.133
Pt 3.309 -3.228 8.204
```

Here is a PBEsol-optimized structure of Ho3Ge2Rh2 from Alexandria via LeMat-Bulk. Energies are from meta-GGA SCAN.

Computed properties:
calculated total energy: -1040.7 eV/cell
formation energy: -1.071 eV per atom

Geometry as extended XYZ:
```
28
Lattice="5.493 0.000 0.000 0.000 7.638 0.000 0.000 0.000 13.040" Properties=species:S:1:pos:R:3 pbc="T T T"
Ho 0.709 1.817 3.260
Ho 0.709 2.002 9.780
Ho 1.948 4.605 1.300
Ho 1.948 4.605 5.220
Ho 1.948 6.852 7.820
Ho 1.948 6.852 11.740
Ho 3.546 0.786 1.300
Ho 3.546 0.786 5.220
Ho 3.546 3.033 7.820
Ho 3.546 3.033 11.740
Ho 4.784 5.635 3.260
Ho 4.784 5.821 9.780
Ge 0.922 1.909 0.000
Ge 0.922 1.909 6.520
Ge 2.052 4.684 9.780
Ge 2.052 6.773 3.260
Ge 3.442 0.865 9.780
Ge 3.442 2.954 3.260
Ge 4.571 5.728 0.000
Ge 4.571 5.728 6.520
Rh 0.693 4.162 7.725
Rh 0.693 4.162 11.835
Rh 0.693 7.295 1.205
Rh 0.693 7.295 5.315
Rh 4.800 0.343 7.725
Rh 4.800 0.343 11.835
Rh 4.800 3.476 1.205
Rh 4.800 3.476 5.315
```

Here is a PBEsol-optimized structure of Ho2Ge2Rh from Alexandria via LeMat-Bulk. Energies are from meta-GGA SCAN.

Computed properties:
calculated total energy: -350.6 eV/cell
formation energy: -1.073 eV per atom

Geometry as extended XYZ:
```
10
Lattice="5.172 -2.109 0.000 5.172 2.109 0.000 -4.581 0.000 8.991" Properties=species:S:1:pos:R:3 pbc="T T T"
Ho -1.451 0.000 2.958
Ho 1.406 0.000 1.043
Ho 4.356 0.000 7.948
Ho 7.212 0.000 6.033
Ge 1.664 0.000 3.977
Ge 4.411 0.000 1.048
Ge 1.351 0.000 7.944
Ge 4.098 0.000 5.014
Rh -0.160 0.000 5.899
Rh 5.922 0.000 3.092
```

Here is a PBEsol-optimized structure of Ho2Ge5Rh3 from Alexandria via LeMat-Bulk. Energies are from meta-GGA SCAN.

Computed properties:
calculated total energy: -607.9 eV/cell
formation energy: -0.923 eV per atom

Geometry as extended XYZ:
```
20
Lattice="5.589 -6.029 0.000 5.589 6.029 0.000 -2.723 0.000 5.089" Properties=species:S:1:pos:R:3 pbc="T T T"
Ho 1.934 1.684 1.206
Ho 0.572 -1.684 3.751
Ho 7.883 1.684 1.338
Ho 6.521 -1.684 3.883
Ge 3.547 5.865 3.817
Ge 1.413 1.138 4.226
Ge 3.547 2.671 3.817
Ge 4.909 2.482 1.272
Ge 2.775 -1.138 1.681
Ge 5.681 1.138 3.408
Ge 3.547 -2.482 3.817
Ge 4.909 -2.671 1.272
Ge 7.042 -1.138 0.863
Ge 4.909 -5.865 1.272
Rh 3.502 4.311 1.906
Rh 6.315 4.311 0.638
Rh 4.909 0.014 1.272
Rh 3.547 -0.014 3.817
Rh 2.140 -4.311 4.451
Rh 4.954 -4.311 3.183
```

Here is a PBEsol-optimized structure of Ho5Ge10Rh4 from Alexandria via LeMat-Bulk. Energies are from meta-GGA SCAN.

Computed properties:
calculated total energy: -1177.3 eV/cell
formation energy: -0.935 eV per atom

Geometry as extended XYZ:
```
38
Lattice="12.832 0.000 0.000 0.000 12.832 0.000 0.000 0.000 4.233" Properties=species:S:1:pos:R:3 pbc="T T T"
Ho 0.000 0.000 0.000
Ho 1.454 4.962 2.117
Ho 2.240 8.656 2.117
Ho 4.175 2.240 2.117
Ho 4.962 11.378 2.117
Ho 6.416 6.416 0.000
Ho 7.870 1.454 2.117
Ho 8.656 10.591 2.117
Ho 10.591 4.175 2.117
Ho 11.378 7.870 2.117
Ge 0.029 10.805 2.117
Ge 0.859 7.275 0.000
Ge 2.027 0.029 2.117
Ge 2.079 2.559 0.000
Ge 2.559 10.753 0.000
Ge 3.856 4.337 0.000
Ge 4.337 8.975 0.000
Ge 4.389 6.445 2.117
Ge 5.557 0.859 0.000
Ge 6.387 4.389 2.117
Ge 6.445 8.443 2.117
Ge 7.275 11.972 0.000
Ge 8.443 6.387 2.117
Ge 8.495 3.856 0.000
Ge 8.975 8.495 0.000
Ge 10.272 2.079 0.000
Ge 10.753 10.272 0.000
Ge 10.805 12.803 2.117
Ge 11.972 5.557 0.000
Ge 12.803 2.027 2.117
Rh 0.268 9.674 0.000
Rh 3.158 0.268 0.000
Rh 3.258 6.684 0.000
Rh 6.148 3.258 0.000
Rh 6.684 9.573 0.000
Rh 9.573 6.148 0.000
Rh 9.674 12.564 0.000
Rh 12.564 3.158 0.000
```

Here is a PBEsol-optimized structure of HoGe4Rh6 from Alexandria via LeMat-Bulk. Energies are from meta-GGA SCAN.

Computed properties:
calculated total energy: -337.5 eV/cell
formation energy: -0.866 eV per atom

Geometry as extended XYZ:
```
11
Lattice="7.102 0.000 0.000 -3.551 6.151 0.000 0.000 0.000 3.786" Properties=species:S:1:pos:R:3 pbc="T T T"
Ho 0.000 0.000 0.000
Ge 0.000 2.419 1.893
Ge -1.456 4.941 1.893
Ge 1.456 4.941 1.893
Ge 3.551 2.050 0.000
Rh -1.420 3.280 0.000
Rh 2.117 1.222 1.893
Rh 1.420 3.280 0.000
Rh 0.000 5.740 0.000
Rh 4.986 1.222 1.893
Rh 3.551 3.707 1.893
```

Here is a PBEsol-optimized structure of Ho3Ge3Ru2 from Alexandria via LeMat-Bulk. Energies are from meta-GGA SCAN.

Computed properties:
calculated total energy: -562.1 eV/cell
formation energy: -0.897 eV per atom

Geometry as extended XYZ:
```
16
Lattice="2.102 -5.323 0.000 2.102 5.323 0.000 0.000 0.000 13.701" Properties=species:S:1:pos:R:3 pbc="T T T"
Ho 2.102 4.494 8.403
Ho 2.102 4.494 12.148
Ho 2.102 1.560 10.275
Ho 2.102 -1.560 3.425
Ho 2.102 -4.494 1.553
Ho 2.102 -4.494 5.298
Ge 2.102 1.747 3.425
Ge 2.102 1.223 7.410
Ge 2.102 1.223 13.141
Ge 2.102 -1.223 0.559
Ge 2.102 -1.223 6.291
Ge 2.102 -1.747 10.275
Ru 2.102 3.046 1.130
Ru 2.102 3.046 5.721
Ru 2.102 -3.046 7.980
Ru 2.102 -3.046 12.571
```

Result set for density of states at the Fermi level: 2.2; 6.7; 2.7; 19.7; 2.3; 5.7; 4.9; 7.5; 2.1; 9.4; 15.8; 4.1; 8.4; 13.6; 4.1; 6.7 states/eV per cell, one per record in the order listed.